Record 1
Cu3Rh: relaxed, PBE.

```
Cu3Rh
1.0
8.970 0.000 0.000
0.000 4.521 0.000
-0.755 0.000 2.505
Cu Rh
6 2
direct
0.000 0.000 0.000 Cu
0.248 0.162 0.749 Cu
0.252 0.662 0.251 Cu
0.500 0.500 0.000 Cu
0.748 0.662 0.749 Cu
0.752 0.162 0.251 Cu
0.000 0.502 0.500 Rh
0.500 0.002 0.500 Rh
```

Summary:
Crystal system   monoclinic
Calculated volume   12.701 Å³ per atom
SG   C2
ΔE_f   0.04 eV per atom



Record 2
Cu2Rh: relaxed, PBE.

```
Cu2Rh
1.0
5.743 0.000 0.000
0.000 5.743 0.000
0.000 0.000 5.743
Cu Rh
8 4
direct
0.250 0.250 0.250 Cu
0.250 0.250 0.750 Cu
0.250 0.750 0.250 Cu
0.250 0.750 0.750 Cu
0.750 0.250 0.250 Cu
0.750 0.250 0.750 Cu
0.750 0.750 0.250 Cu
0.750 0.750 0.750 Cu
0.000 0.000 0.000 Rh
0.000 0.500 0.500 Rh
0.500 0.000 0.500 Rh
0.500 0.500 0.000 Rh
```

Summary:
Crystal system   cubic
Polymorph energy (0 for the lowest one)   531 meV per atom
Calculated volume   15.786 Å³ per atom
SG   Fm-3m
ΔE_f   0.57 eV per atom



Record 3
Cu2Rh: relaxed, PBE.

```
Cu2Rh
1.0
2.592 0.000 0.000
0.000 2.592 0.000
0.000 0.000 24.067
Cu Rh
8 4
direct
0.000 0.250 0.294 Cu
0.000 0.250 0.456 Cu
0.000 0.750 0.544 Cu
0.000 0.750 0.706 Cu
0.500 0.250 0.044 Cu
0.500 0.250 0.206 Cu
0.500 0.750 0.794 Cu
0.500 0.750 0.956 Cu
0.000 0.250 0.875 Rh
0.000 0.750 0.125 Rh
0.500 0.250 0.625 Rh
0.500 0.750 0.375 Rh
```

Summary:
Crystal system   tetragonal
Polymorph energy (0 for the lowest one)   146 meV per atom
Calculated volume   13.472 Å³ per atom
SG   I4_1/amd
ΔE_f   0.18 eV per atom



calculated volume of number 2 (Cu2Rh)? 15.786 Å³ per atom



Which of these has the highest ΔE_f? number 2